Entry 1:
Compound: MnVNF2
Source: Alexandria
Functional: PBE with a Hubbard U
Structure: relaxed

## Properties
- magnetic moment (μB/atom) = 0.0654
- E above lowest polymorph (eV per formula unit) = 6.18
- energy (eV per formula unit) = -26.48
- density of states at the Fermi level (states/eV per cell) = 3.02

Lattice parameters (Å, degrees): 4.7021 3.5704 4.7021 90.00 90.00 90.00
Atoms (fractional coordinates):
1 N 0.0000 0.0000 0.0000
2 F 0.0000 0.0000 0.5000
3 Mn 0.0000 0.5000 0.0000
4 V 0.5000 0.5000 0.5000
5 F 0.5000 0.0000 0.0000

***

Entry 2:
Compound: MnVN2F
Source: Alexandria
Functional: PBE with a Hubbard U
Structure: relaxed

## Properties
- magnetic moment (μB/atom) = 0.6073
- E above lowest polymorph (eV per formula unit) = 3.27
- energy (eV per formula unit) = -31.54
- density of states at the Fermi level (states/eV per cell) = 1.12

Lattice parameters (Å, degrees): 3.8753 3.8753 3.8160 90.00 90.00 90.00
Atoms (fractional coordinates):
1 N 0.5000 0.0000 0.0000
2 V 0.5000 0.5000 0.5000
3 F 0.0000 0.0000 0.5000
4 Mn 0.0000 0.0000 0.0000
5 N 0.0000 0.5000 0.0000